# 1
A relaxed structure of Th3Ni. Source: Alexandria, functional PBE-GGA.

* formation enthalpy at 0 K: 0.18 eV per atom
* magnetization: 0.0 Bohr magnetons per cell

Structure (CIF):
```
data_Th3Ni
_chemical_formula_sum 'Th6 Ni2'
_cell_length_a 4.6477
_cell_length_b 4.6477
_cell_length_c 9.9034
_cell_angle_alpha 90.00
_cell_angle_beta 90.00
_cell_angle_gamma 90.00
_symmetry_space_group_name_H-M 'P 1'
_symmetry_Int_Tables_number 1
_symmetry_space_group_name_Hall 'P 1'
loop_
_atom_site_label
_atom_site_type_symbol
_atom_site_fract_x
_atom_site_fract_y
_atom_site_fract_z
_atom_site_occupancy
Th1 Th 0.0000 0.0000 0.0000 1
Th2 Th 0.0000 0.5000 0.2500 1
Th3 Th 0.0000 0.5000 0.7500 1
Th4 Th 0.5000 0.0000 0.2500 1
Th5 Th 0.5000 0.0000 0.7500 1
Th6 Th 0.5000 0.5000 0.5000 1
Ni1 Ni 0.0000 0.0000 0.5000 1
Ni2 Ni 0.5000 0.5000 0.0000 1
```

=====

# 2
A relaxed structure of Th4Ni. Source: Alexandria, functional PBE-GGA.

* formation enthalpy at 0 K: 0.09 eV per atom
* magnetization: 0.0 Bohr magnetons per cell

Structure (CIF):
```
data_Th4Ni
_chemical_formula_sum 'Th4 Ni1'
_cell_length_a 5.3863
_cell_length_b 5.3863
_cell_length_c 5.3863
_cell_angle_alpha 90.00
_cell_angle_beta 90.00
_cell_angle_gamma 90.00
_symmetry_space_group_name_H-M 'P 1'
_symmetry_Int_Tables_number 1
_symmetry_space_group_name_Hall 'P 1'
loop_
_atom_site_label
_atom_site_type_symbol
_atom_site_fract_x
_atom_site_fract_y
_atom_site_fract_z
_atom_site_occupancy
Th1 Th 0.0000 0.0000 0.0000 1
Th2 Th 0.0000 0.5000 0.5000 1
Th3 Th 0.5000 0.0000 0.5000 1
Th4 Th 0.5000 0.5000 0.0000 1
Ni1 Ni 0.5000 0.5000 0.5000 1
```

=====

# 3
A relaxed structure of ThNi6. Source: Alexandria, functional PBE-GGA.

* formation enthalpy at 0 K: 0.91 eV per atom
* excess energy over the best structure of this formula in the dataset: 1175 meV per atom
* magnetization: 3.8 Bohr magnetons per cell

Structure (CIF):
```
data_ThNi6
_chemical_formula_sum 'Th1 Ni6'
_cell_length_a 5.2403
_cell_length_b 5.2403
_cell_length_c 5.2403
_cell_angle_alpha 90.00
_cell_angle_beta 90.00
_cell_angle_gamma 90.00
_symmetry_space_group_name_H-M 'P 1'
_symmetry_Int_Tables_number 1
_symmetry_space_group_name_Hall 'P 1'
loop_
_atom_site_label
_atom_site_type_symbol
_atom_site_fract_x
_atom_site_fract_y
_atom_site_fract_z
_atom_site_occupancy
Th1 Th 0.0000 0.0000 0.0000 1
Ni1 Ni 0.1959 0.5000 0.5000 1
Ni2 Ni 0.5000 0.1959 0.5000 1
Ni3 Ni 0.5000 0.5000 0.1959 1
Ni4 Ni 0.5000 0.5000 0.8041 1
Ni5 Ni 0.5000 0.8041 0.5000 1
Ni6 Ni 0.8041 0.5000 0.5000 1
```

=====

# 4
A relaxed structure of ThNi6. Source: Alexandria, functional PBE-GGA.

* formation enthalpy at 0 K: -0.26 eV per atom
* excess energy over the best structure of this formula in the dataset: 0 meV per atom
* magnetization: 2.1 Bohr magnetons per cell

Structure (CIF):
```
data_ThNi6
_chemical_formula_sum 'Th4 Ni24'
_cell_length_a 7.8476
_cell_length_b 4.9008
_cell_length_c 9.9003
_cell_angle_alpha 90.00
_cell_angle_beta 90.00
_cell_angle_gamma 90.00
_symmetry_space_group_name_H-M 'P 1'
_symmetry_Int_Tables_number 1
_symmetry_space_group_name_Hall 'P 1'
loop_
_atom_site_label
_atom_site_type_symbol
_atom_site_fract_x
_atom_site_fract_y
_atom_site_fract_z
_atom_site_occupancy
Th1 Th 0.2403 0.2500 0.0616 1
Th2 Th 0.2597 0.7500 0.5616 1
Th3 Th 0.7403 0.2500 0.4384 1
Th4 Th 0.7597 0.7500 0.9384 1
Ni1 Ni 0.0618 0.7500 0.0939 1
Ni2 Ni 0.0670 0.0053 0.3088 1
Ni3 Ni 0.0670 0.4947 0.3088 1
Ni4 Ni 0.1059 0.2500 0.5193 1
Ni5 Ni 0.1491 0.7500 0.8511 1
Ni6 Ni 0.1818 0.2500 0.7583 1
Ni7 Ni 0.3182 0.7500 0.2583 1
Ni8 Ni 0.3509 0.2500 0.3511 1
Ni9 Ni 0.3941 0.7500 0.0193 1
Ni10 Ni 0.4330 0.5053 0.8088 1
Ni11 Ni 0.4330 0.9947 0.8088 1
Ni12 Ni 0.4382 0.2500 0.5939 1
Ni13 Ni 0.5618 0.7500 0.4061 1
Ni14 Ni 0.5671 0.0053 0.1912 1
Ni15 Ni 0.5671 0.4947 0.1912 1
Ni16 Ni 0.6059 0.2500 0.9807 1
Ni17 Ni 0.6491 0.7500 0.6489 1
Ni18 Ni 0.6818 0.2500 0.7417 1
Ni19 Ni 0.8182 0.7500 0.2417 1
Ni20 Ni 0.8509 0.2500 0.1489 1
Ni21 Ni 0.8941 0.7500 0.4807 1
Ni22 Ni 0.9330 0.5053 0.6912 1
Ni23 Ni 0.9330 0.9947 0.6912 1
Ni24 Ni 0.9382 0.2500 0.9061 1
```

=====

# 5
A relaxed structure of ThNi5. Source: Alexandria, functional PBE-GGA.

* formation enthalpy at 0 K: -0.16 eV per atom
* magnetization: 0.0 Bohr magnetons per cell

Structure (CIF):
```
data_ThNi5
_chemical_formula_sum 'Th2 Ni10'
_cell_length_a 4.6558
_cell_length_b 8.7540
_cell_length_c 4.3592
_cell_angle_alpha 90.00
_cell_angle_beta 108.21
_cell_angle_gamma 90.00
_symmetry_space_group_name_H-M 'P 1'
_symmetry_Int_Tables_number 1
_symmetry_space_group_name_Hall 'P 1'
loop_
_atom_site_label
_atom_site_type_symbol
_atom_site_fract_x
_atom_site_fract_y
_atom_site_fract_z
_atom_site_occupancy
Th1 Th 0.0000 0.0000 0.0000 1
Th2 Th 0.5000 0.5000 0.0000 1
Ni1 Ni 0.0000 0.2100 0.5000 1
Ni2 Ni 0.0000 0.3352 0.0000 1
Ni3 Ni 0.0000 0.5000 0.5000 1
Ni4 Ni 0.0000 0.6648 0.0000 1
Ni5 Ni 0.0000 0.7900 0.5000 1
Ni6 Ni 0.5000 0.0000 0.5000 1
Ni7 Ni 0.5000 0.1648 0.0000 1
Ni8 Ni 0.5000 0.2900 0.5000 1
Ni9 Ni 0.5000 0.7100 0.5000 1
Ni10 Ni 0.5000 0.8352 0.0000 1
```

=====

# 6
A relaxed structure of Th3Ni. Source: Alexandria, functional PBE-GGA.

* formation enthalpy at 0 K: -0.23 eV per atom
* magnetization: 0.0 Bohr magnetons per cell

Structure (CIF):
```
data_Th3Ni
_chemical_formula_sum 'Th6 Ni2'
_cell_length_a 3.6953
_cell_length_b 9.8809
_cell_length_c 6.2194
_cell_angle_alpha 90.00
_cell_angle_beta 107.23
_cell_angle_gamma 90.00
_symmetry_space_group_name_H-M 'P 1'
_symmetry_Int_Tables_number 1
_symmetry_space_group_name_Hall 'P 1'
loop_
_atom_site_label
_atom_site_type_symbol
_atom_site_fract_x
_atom_site_fract_y
_atom_site_fract_z
_atom_site_occupancy
Th1 Th 0.0907 0.2500 0.1793 1
Th2 Th 0.3631 0.0581 0.7276 1
Th3 Th 0.3631 0.4419 0.7276 1
Th4 Th 0.6369 0.5581 0.2724 1
Th5 Th 0.6369 0.9419 0.2724 1
Th6 Th 0.9093 0.7500 0.8207 1
Ni1 Ni 0.2210 0.7500 0.4435 1
Ni2 Ni 0.7790 0.2500 0.5565 1
```

=====

# 7
A relaxed structure of ThNi12. Source: Alexandria, functional PBE-GGA.

* formation enthalpy at 0 K: -0.15 eV per atom
* magnetization: 4.7 Bohr magnetons per cell

Structure (CIF):
```
data_ThNi12
_chemical_formula_sum 'Th1 Ni12'
_cell_length_a 6.2975
_cell_length_b 6.2975
_cell_length_c 6.2975
_cell_angle_alpha 98.09
_cell_angle_beta 98.09
_cell_angle_gamma 135.93
_symmetry_space_group_name_H-M 'P 1'
_symmetry_Int_Tables_number 1
_symmetry_space_group_name_Hall 'P 1'
loop_
_atom_site_label
_atom_site_type_symbol
_atom_site_fract_x
_atom_site_fract_y
_atom_site_fract_z
_atom_site_occupancy
Th1 Th 0.0000 0.0000 0.0000 1
Ni1 Ni 0.0000 0.0000 0.5000 1
Ni2 Ni 0.0000 0.3544 0.3544 1
Ni3 Ni 0.0000 0.5000 0.0000 1
Ni4 Ni 0.0000 0.6456 0.6456 1
Ni5 Ni 0.2725 0.5000 0.7725 1
Ni6 Ni 0.3544 0.0000 0.3544 1
Ni7 Ni 0.5000 0.0000 0.0000 1
Ni8 Ni 0.5000 0.2725 0.7725 1
Ni9 Ni 0.5000 0.5000 0.5000 1
Ni10 Ni 0.5000 0.7275 0.2275 1
Ni11 Ni 0.6456 0.0000 0.6456 1
Ni12 Ni 0.7275 0.5000 0.2275 1
```

=====

# 8
A relaxed structure of Th2Ni. Source: Alexandria, functional PBE-GGA.

* formation enthalpy at 0 K: -0.15 eV per atom
* magnetization: 0.0 Bohr magnetons per cell

Structure (CIF):
```
data_Th2Ni
_chemical_formula_sum 'Th4 Ni2'
_cell_length_a 5.0606
_cell_length_b 5.0372
_cell_length_c 6.4296
_cell_angle_alpha 90.00
_cell_angle_beta 112.40
_cell_angle_gamma 90.00
_symmetry_space_group_name_H-M 'P 1'
_symmetry_Int_Tables_number 1
_symmetry_space_group_name_Hall 'P 1'
loop_
_atom_site_label
_atom_site_type_symbol
_atom_site_fract_x
_atom_site_fract_y
_atom_site_fract_z
_atom_site_occupancy
Th1 Th 0.1415 0.0000 0.2781 1
Th2 Th 0.3585 0.5000 0.7219 1
Th3 Th 0.6415 0.5000 0.2781 1
Th4 Th 0.8585 0.0000 0.7219 1
Ni1 Ni 0.0000 0.5000 0.0000 1
Ni2 Ni 0.5000 0.0000 0.0000 1
```